The following is a PBE-GGA calculation of crystalline TiBe2V2 at its relaxed geometry, from the Alexandria database.

Output
The energy relative to the elements is -0.1 eV/f.u. As for the total magnetization: 0.00 μB per formula unit.

Unit cell a=6.4663 b=6.4663 c=2.9073 alpha=90.00 beta=90.00 gamma=90.00
Element x y z (fractional)
Be 0.3852 0.8852 0.0000
Be 0.8852 0.6148 0.0000
Be 0.6148 0.1148 0.0000
Be 0.1148 0.3852 0.0000
V 0.1785 0.6785 0.5000
V 0.6785 0.8215 0.5000
V 0.8215 0.3215 0.5000
V 0.3215 0.1785 0.5000
Ti 0.0000 0.0000 0.0000
Ti 0.5000 0.5000 0.0000

The following is a PBE-GGA calculation of crystalline Ti3Be8V at its relaxed geometry, from the Alexandria database.

Output
The energy relative to the elements is -2.4 eV/f.u. As for the total magnetization: 4.65 μB per formula unit.

Unit cell a=4.5012 b=4.5012 c=7.8007 alpha=73.23 beta=73.23 gamma=60.00
Element x y z (fractional)
Ti 0.3753 0.3753 0.8742
Ti 0.9984 0.9984 0.0048
Ti 0.5012 0.5012 0.4963
Be 0.9363 0.4367 0.1903
Be 0.4405 0.9373 0.6850
Be 0.4367 0.4367 0.1903
Be 0.9373 0.9373 0.6850
Be 0.1874 0.1874 0.4379
Be 0.6879 0.6879 0.9362
Be 0.4367 0.9363 0.1903
Be 0.9373 0.4405 0.6850
V 0.8750 0.8750 0.3749

The following is a PBE-GGA calculation of crystalline TiBeV3 at its relaxed geometry, from the Alexandria database.

Output
The energy relative to the elements is 2.9 eV/f.u. As for the total magnetization: 0.00 μB per formula unit.

Unit cell a=4.1575 b=4.1575 c=4.1575 alpha=90.00 beta=90.00 gamma=90.00
Element x y z (fractional)
Be 0.0000 0.0000 0.0000
V 0.0000 0.5000 0.0000
V 0.0000 0.0000 0.5000
V 0.5000 0.0000 0.0000
Ti 0.5000 0.5000 0.5000

The following is a PBE-GGA calculation of crystalline TiBeV3 at its relaxed geometry, from the Alexandria database.

Output
The energy relative to the elements is 7.3 eV/f.u. As for the total magnetization: 0.70 μB per formula unit.

Unit cell a=4.3450 b=4.3450 c=4.3450 alpha=90.00 beta=90.00 gamma=90.00
Element x y z (fractional)
Be 0.5000 0.5000 0.5000
V 0.0000 0.5000 0.0000
V 0.0000 0.0000 0.5000
V 0.5000 0.0000 0.0000
Ti 0.0000 0.0000 0.0000

The following is a PBE-GGA calculation of crystalline Y2TiBeV at its relaxed geometry, from the Alexandria database.

Output
The energy relative to the elements is 4.4 eV/f.u. As for the total magnetization: 0.00 μB per formula unit.

Unit cell a=5.3255 b=4.3127 c=5.3255 alpha=90.00 beta=90.00 gamma=90.00
Element x y z (fractional)
Y 0.0000 0.0000 0.5000
Y 0.5000 0.0000 0.0000
Be 0.5000 0.5000 0.5000
Ti 0.0000 0.5000 0.0000
V 0.0000 0.0000 0.0000

The following is a PBE-GGA calculation of crystalline TiBe17W at its relaxed geometry, from the Alexandria database.

Output
The energy relative to the elements is -3.1 eV/f.u. As for the total magnetization: 0.00 μB per formula unit.

Unit cell a=5.5116 b=5.5116 c=5.5116 alpha=82.99 beta=82.99 gamma=82.99
Element x y z (fractional)
Ti 0.6597 0.6597 0.6597
Be 0.2971 0.0006 0.7018
Be 0.7018 0.2971 0.0006
Be 0.0006 0.7018 0.2971
Be 0.2971 0.7018 0.0006
Be 0.0006 0.2971 0.7018
Be 0.7018 0.0006 0.2971
Be 0.3471 0.8385 0.3471
Be 0.3471 0.3471 0.8385
Be 0.8385 0.3471 0.3471
Be 0.6513 0.1626 0.6513
Be 0.6513 0.6513 0.1626
Be 0.1626 0.6513 0.6513
Be 0.0004 0.5004 0.0004
Be 0.0004 0.0004 0.5004
Be 0.5004 0.0004 0.0004
Be 0.9011 0.9011 0.9011
Be 0.1009 0.1009 0.1009
W 0.3401 0.3401 0.3401

Question: energy relative to the elements of number 4 (TiBeV3)?
Answer: 7.3 eV/f.u.

Question: energy relative to the elements of number 3 (TiBeV3)?
Answer: 2.9 eV/f.u.

Copy entry 3 word for word.
The following is a PBE-GGA calculation of crystalline TiBeV3 at its relaxed geometry, from the Alexandria database.

Output
The energy relative to the elements is 2.9 eV/f.u. As for the total magnetization: 0.00 μB per formula unit.

Unit cell a=4.1575 b=4.1575 c=4.1575 alpha=90.00 beta=90.00 gamma=90.00
Element x y z (fractional)
Be 0.0000 0.0000 0.0000
V 0.0000 0.5000 0.0000
V 0.0000 0.0000 0.5000
V 0.5000 0.0000 0.0000
Ti 0.5000 0.5000 0.5000

Question: Among the records above, which one has the highest energy relative to the elements?
Answer: number 4